Arrangement w

Material: ScTe2Cl
Method: DFT, PBE
State: optimized geometry

Geometry as CIF:
```
data_ScTe2Cl
_chemical_formula_sum 'Sc2 Te4 Cl2'
_cell_length_a 4.539
_cell_length_b 4.539
_cell_length_c 9.554
_cell_angle_alpha 90.00
_cell_angle_beta 90.00
_cell_angle_gamma 90.00
_symmetry_space_group_name_H-M 'I 4/m m m'
_symmetry_Int_Tables_number 139
_symmetry_space_group_name_Hall '-I 4 2'
loop_
_atom_site_label
_atom_site_type_symbol
_atom_site_fract_x
_atom_site_fract_y
_atom_site_fract_z
Sc1 Sc 0.000 0.000 0.000
Te1 Te 0.000 0.500 0.250
Cl1 Cl 0.000 0.000 0.500
```

DOS(E_F): 3.73 states/eV per cell

Arrangement x

Material: ScTe2Cl
Method: DFT, PBE
State: optimized geometry

Geometry as CIF:
```
data_ScTe2Cl
_chemical_formula_sum 'Sc4 Te8 Cl4'
_cell_length_a 7.345
_cell_length_b 7.345
_cell_length_c 7.345
_cell_angle_alpha 90.00
_cell_angle_beta 90.00
_cell_angle_gamma 90.00
_symmetry_space_group_name_H-M 'F -4 3 m'
_symmetry_Int_Tables_number 216
_symmetry_space_group_name_Hall 'F -4 2 3'
loop_
_atom_site_label
_atom_site_type_symbol
_atom_site_fract_x
_atom_site_fract_y
_atom_site_fract_z
Sc1 Sc 0.000 0.000 0.000
Te1 Te 0.000 0.000 0.500
Te2 Te 0.250 0.250 0.750
Cl1 Cl 0.250 0.250 0.250
```

DOS(E_F): 13.43 states/eV per cell

Most stable = arrangement w